Record 1
Ca2TlIr: optimized geometry, PBE.

Lattice parameters (Å, degrees): 5.535 5.535 5.535 131.65 131.65 70.78
Fractional positions:
Ca  0.250  0.750  0.500
Ca  0.000  0.000  0.000
Ir  0.500  0.500  0.000
Tl  0.750  0.250  0.500

Values from the calculation:
Calculated density ... 8.5 g/cm³
ΔH_f (0 K) ... -117 meV per atom
Distance to the lowest polymorph of the same formula ... 0.709 eV/f.u.
Calculated total energy ... -3.925 eV per atom
Magnetic moment ... 0.00 μB per cell

Record 2
NiAu2I: optimized geometry, PBE.

Lattice parameters (Å, degrees): 4.827 4.827 4.827 60.00 60.00 60.00
Last column: magnetic moment on the atom in μB.
Fractional positions:
Au  0.250  0.250  0.250  0.00
I  0.500  0.500  0.500  0.02
Ni  0.000  0.000  0.000  0.24
Au  0.750  0.750  0.750  0.00

Values from the calculation:
Calculated density ... 12.1 g/cm³
Distance to the lowest polymorph of the same formula ... 0.949 eV/f.u.
Calculated total energy ... -2.785 eV per atom
Raw formation energy ... 0.69 eV per atom
Magnetic moment ... 0.27 μB per cell

Record 3
BeAg2Mo: optimized geometry, PBE.

Lattice parameters (Å, degrees): 4.311 2.697 5.364 75.94 90.00 90.00
Fractional positions:
Be  0.500  0.250  0.250
Ag  0.000  0.099  0.015
Mo  0.500  0.750  0.750
Ag  0.000  0.401  0.485

Values from the calculation:
Calculated density ... 8.8 g/cm³
ΔH_f (0 K) ... 495 meV per atom
Calculated total energy ... -4.570 eV per atom
Magnetic moment ... 0.00 μB per cell

Record 4
NaAl2InCl8: optimized geometry, PBE.

Lattice parameters (Å, degrees): 7.197 7.197 9.137 90.00 90.00 120.00
Fractional positions:
Cl  0.333  0.667  0.473
Cl  0.170  0.830  0.787
Cl  0.830  0.170  0.213
Al  0.333  0.667  0.706
Cl  0.667  0.333  0.527
Al  0.667  0.333  0.294
Cl  0.830  0.660  0.213
Cl  0.340  0.170  0.213
Cl  0.660  0.830  0.787
Cl  0.170  0.340  0.787
In  0.000  0.000  0.500
Na  0.000  0.000  0.000

Values from the calculation:
Calculated density ... 1.9 g/cm³
Calculated total energy ... -3.682 eV per atom
Raw formation energy ... -1.49 eV per atom
Magnetic moment ... 0.00 μB per cell

Record 5
LiHfNi3: optimized geometry, PBE.

Lattice parameters (Å, degrees): 4.004 4.004 4.004 90.00 90.00 90.00
Fractional positions:
Hf  0.500  0.500  0.500
Ni  0.500  0.000  0.000
Li  0.000  0.000  0.000
Ni  0.000  0.000  0.500
Ni  0.000  0.500  0.000

Values from the calculation:
Calculated density ... 9.3 g/cm³
ΔH_f (0 K) ... 155 meV per atom
Distance to the lowest polymorph of the same formula ... 0.000 eV/f.u.
Calculated total energy ... -5.688 eV per atom
Magnetic moment ... 0.00 μB per cell

Record 6
ZrTi3Ni12: optimized geometry, PBE.

Lattice parameters (Å, degrees): 3.652 3.652 14.555 90.00 90.00 90.00
Fractional positions:
Ni  0.000  0.500  0.622
Ni  0.500  0.000  0.133
Ti  0.000  0.000  0.500
Ni  0.500  0.500  0.745
Ni  0.000  0.500  0.867
Ti  0.000  0.000  0.255
Zr  0.000  0.000  0.000
Ni  0.500  0.500  0.000
Ti  0.000  0.000  0.745
Ni  0.500  0.500  0.500
Ni  0.000  0.500  0.133
Ni  0.500  0.000  0.378
Ni  0.500  0.000  0.867
Ni  0.000  0.500  0.378
Ni  0.500  0.500  0.255
Ni  0.500  0.000  0.622

Values from the calculation:
Calculated density ... 8.0 g/cm³
ΔH_f (0 K) ... -445 meV per atom
Calculated total energy ... -6.796 eV per atom
Magnetic moment ... 0.00 μB per cell

Record 7
Ta3Si4: optimized geometry, PBE.

Lattice parameters (Å, degrees): 9.983 9.983 9.983 160.80 160.80 27.29
Fractional positions:
Ta  0.710  0.710  0.000
Ta  0.000  0.000  0.000
Si  0.570  0.570  0.000
Si  0.859  0.859  0.000
Ta  0.290  0.290  0.000
Si  0.430  0.430  0.000
Si  0.141  0.141  0.000

Values from the calculation:
Calculated density ... 10.1 g/cm³
Distance to the lowest polymorph of the same formula ... 0.000 eV/f.u.
Calculated total energy ... -8.531 eV per atom
Raw formation energy ... -0.35 eV per atom
Magnetic moment ... 0.00 μB per cell

Record 8
PmHoHf: optimized geometry, PBE.

Lattice parameters (Å, degrees): 4.750 3.363 10.755 98.80 90.00 90.00
Fractional positions:
Ho  0.347  0.356  0.137
Hf  0.847  0.778  0.979
Hf  0.347  0.212  0.844
Ho  0.847  0.634  0.686
Pm  0.347  0.051  0.514
Pm  0.847  0.939  0.310

Values from the calculation:
Calculated density ... 9.6 g/cm³
ΔH_f (0 K) ... 169 meV per atom
Distance to the lowest polymorph of the same formula ... 0.099 eV/f.u.
Calculated total energy ... -6.258 eV per atom
Magnetic moment ... 0.00 μB per cell